Arrangement 1

## YMg3Ni (PBE-GGA)

Data for a relaxed YMg3Ni crystal.

Calculated values
- symmetry = Pm-3m
- theoretical density (g cm⁻³) = 1.8

Cell lengths 5.8406, 5.8406, 5.8406 Å; angles 90.00, 90.00, 90.00 degrees
Fractional positions:
Y 0.0000 0.0000 0.0000
Mg 0.0000 0.0000 0.5000
Mg 0.0000 0.5000 0.0000
Mg 0.5000 0.0000 0.0000
Ni 0.5000 0.5000 0.5000

---

Arrangement 2

## YMg3Ni (PBE-GGA)

Data for a relaxed YMg3Ni crystal.

Calculated values
- symmetry = P2_1/m
- theoretical density (g cm⁻³) = 3.4

Cell lengths 5.3222, 5.7878, 7.2690 Å; angles 90.00, 106.56, 90.00 degrees
Fractional positions:
Y 0.1094 0.2500 0.4016
Y 0.8906 0.7500 0.5984
Mg 0.0179 0.2500 0.8942
Mg 0.4865 0.5014 0.7900
Mg 0.4865 0.9986 0.7900
Mg 0.5135 0.0014 0.2100
Mg 0.5135 0.4986 0.2100
Mg 0.9821 0.7500 0.1058
Ni 0.3304 0.7500 0.4652
Ni 0.6696 0.2500 0.5348

---

Arrangement 3

## YMg3Ni (PBE-GGA)

Data for a relaxed YMg3Ni crystal.

Calculated values
- symmetry = Pm-3m
- theoretical density (g cm⁻³) = 3.3

Cell lengths 4.8255, 4.8255, 4.8255 Å; angles 90.00, 90.00, 90.00 degrees
Fractional positions:
Y 0.0000 0.0000 0.0000
Mg 0.0000 0.5000 0.5000
Mg 0.5000 0.0000 0.5000
Mg 0.5000 0.5000 0.0000
Ni 0.5000 0.5000 0.5000

---

Energy ordering: arrangement 2 at the bottom, the next structure 171 meV/atom above.

---

Arrangement 1

## Mg2ZnNi3 (PBE-GGA)

Data for a relaxed Mg2ZnNi3 crystal.

Calculated values
- symmetry = R-3m
- theoretical density (g cm⁻³) = 5.8

Cell lengths 4.8409, 4.8409, 4.8409 Å; angles 61.82, 61.82, 61.82 degrees
Fractional positions:
Mg 0.1233 0.1233 0.1233
Mg 0.8767 0.8767 0.8767
Zn 0.5000 0.5000 0.5000
Ni 0.0000 0.5000 0.5000
Ni 0.5000 0.0000 0.5000
Ni 0.5000 0.5000 0.0000

---

Arrangement 2

## Mg2ZnNi3 (PBE-GGA)

Data for a relaxed Mg2ZnNi3 crystal.

Calculated values
- symmetry = P6_3/mmc
- theoretical density (g cm⁻³) = 5.8

Cell lengths 4.9846, 4.9846, 7.7388 Å; angles 90.00, 90.00, 120.00 degrees
Fractional positions:
Mg 0.3333 0.6667 0.0657
Mg 0.3333 0.6667 0.4343
Mg 0.6667 0.3333 0.5657
Mg 0.6667 0.3333 0.9343
Zn 0.0000 0.0000 0.0000
Zn 0.0000 0.0000 0.5000
Ni 0.1725 0.3450 0.7500
Ni 0.1725 0.8275 0.7500
Ni 0.3450 0.1725 0.2500
Ni 0.6550 0.8275 0.7500
Ni 0.8275 0.1725 0.2500
Ni 0.8275 0.6550 0.2500

---

Energy ordering: arrangement 2 at the bottom, the next structure 6 meV/atom above.

---

Arrangement 1

## MgZn3Ni (PBE-GGA)

Data for a relaxed MgZn3Ni crystal.

Calculated values
- symmetry = Pm-3m
- theoretical density (g cm⁻³) = 4.9

Cell lengths 4.5584, 4.5584, 4.5584 Å; angles 90.00, 90.00, 90.00 degrees
Fractional positions:
Mg 0.0000 0.0000 0.0000
Zn 0.0000 0.5000 0.5000
Zn 0.5000 0.0000 0.5000
Zn 0.5000 0.5000 0.0000
Ni 0.5000 0.5000 0.5000

---

Arrangement 2

## MgZn3Ni (PBE-GGA)

Data for a relaxed MgZn3Ni crystal.

Calculated values
- symmetry = I-4m2
- theoretical density (g cm⁻³) = 4.7

Cell lengths 8.8936, 8.8936, 8.8936 Å; angles 148.14, 148.14, 45.68 degrees
Fractional positions:
Mg 0.2093 0.2093 0.0000
Mg 0.7907 0.7907 0.0000
Zn 0.3750 0.1257 0.7507
Zn 0.3750 0.6243 0.2493
Zn 0.3757 0.6250 0.7507
Zn 0.5288 0.0288 0.5000
Zn 0.8743 0.6250 0.2493
Zn 0.9712 0.4712 0.5000
Ni 0.2500 0.7500 0.5000
Ni 0.5000 0.5000 0.0000

---

Arrangement 3

## MgZn3Ni (PBE-GGA)

Data for a relaxed MgZn3Ni crystal.

Calculated values
- symmetry = P1
- theoretical density (g cm⁻³) = 6.2

Cell lengths 4.9854, 5.0264, 6.4003 Å; angles 72.87, 75.64, 87.67 degrees
Fractional positions:
Mg 0.0000 0.0000 0.0000
Mg 0.3912 0.8840 0.3600
Zn 0.2012 0.4273 0.1548
Zn 0.3081 0.2943 0.5617
Zn 0.5245 0.7971 0.8161
Zn 0.5816 0.2841 0.8467
Zn 0.6997 0.4315 0.1781
Zn 0.8642 0.6201 0.4685
Ni 0.0493 0.6004 0.7928
Ni 0.8760 0.0969 0.5056

---

Energy ordering: arrangement 3 at the bottom, the next structure 137 meV/atom above.

---

Arrangement 1

## MgZr2Ni (PBE-GGA)

Data for a relaxed MgZr2Ni crystal.

Calculated values
- symmetry = I-42d
- theoretical density (g cm⁻³) = 5.4

Cell lengths 6.0893, 6.0893, 6.0893 Å; angles 102.33, 102.33, 124.95 degrees
Fractional positions:
Mg 0.0000 0.0000 0.0000
Mg 0.7500 0.2500 0.5000
Zr 0.1820 0.6250 0.0570
Zr 0.3750 0.4320 0.5570
Zr 0.5680 0.1250 0.9430
Zr 0.8750 0.8180 0.4430
Ni 0.2500 0.7500 0.5000
Ni 0.5000 0.5000 0.0000

---

Arrangement 2

## MgZr2Ni (PBE-GGA)

Data for a relaxed MgZr2Ni crystal.

Calculated values
- symmetry = P4/mmm
- theoretical density (g cm⁻³) = 5.6

Cell lengths 3.0160, 3.0160, 8.6712 Å; angles 90.00, 90.00, 90.00 degrees
Fractional positions:
Mg 0.0000 0.0000 0.0000
Zr 0.5000 0.5000 0.2975
Zr 0.5000 0.5000 0.7025
Ni 0.0000 0.0000 0.5000

---

Arrangement 3

## MgZr2Ni (PBE-GGA)

Data for a relaxed MgZr2Ni crystal.

Calculated values
- symmetry = P2/m
- theoretical density (g cm⁻³) = 5.7

Cell lengths 3.2875, 3.2878, 7.1470 Å; angles 90.00, 91.64, 90.00 degrees
Fractional positions:
Mg 0.0000 0.0000 0.0000
Zr 0.4829 0.5000 0.7164
Zr 0.5171 0.5000 0.2836
Ni 0.0000 0.0000 0.5000

---

Energy ordering: arrangement 2 at the bottom, the next structure 13 meV/atom above.

---

Arrangement 1

## MgZr2Ni (PBE-GGA)

Data for a relaxed MgZr2Ni crystal.

Calculated values
- symmetry = R-3m
- theoretical density (g cm⁻³) = 5.5

Cell lengths 9.6441, 9.6441, 9.6441 Å; angles 18.63, 18.63, 18.63 degrees
Fractional positions:
Mg 0.0000 0.0000 0.0000
Zr 0.2381 0.2381 0.2381
Zr 0.7619 0.7619 0.7619
Ni 0.5000 0.5000 0.5000

---

Arrangement 2

## MgZr2Ni (PBE-GGA)

Data for a relaxed MgZr2Ni crystal.

Calculated values
- symmetry = P4mm
- theoretical density (g cm⁻³) = 5.7

Cell lengths 3.2106, 3.2106, 7.5545 Å; angles 90.00, 90.00, 90.00 degrees
Fractional positions:
Mg 0.0000 0.0000 0.0000
Zr 0.0000 0.0000 0.4078
Zr 0.5000 0.5000 0.6931
Ni 0.5000 0.5000 0.2121

---

Energy ordering: arrangement 2 at the bottom, the next structure 203 meV/atom above.

---

Arrangement 1

## MgZr2Ni (PBE-GGA)

Data for a relaxed MgZr2Ni crystal.

Calculated values
- symmetry = Fm-3m
- theoretical density (g cm⁻³) = 5.8

Cell lengths 4.7502, 4.7502, 4.7502 Å; angles 60.00, 60.00, 60.00 degrees
Fractional positions:
Mg 0.0000 0.0000 0.0000
Zr 0.2500 0.2500 0.2500
Zr 0.7500 0.7500 0.7500
Ni 0.5000 0.5000 0.5000

---

Arrangement 2

## MgZr2Ni (PBE-GGA)

Data for a relaxed MgZr2Ni crystal.

Calculated values
- symmetry = I-4m2
- theoretical density (g cm⁻³) = 5.8

Cell lengths 5.3879, 5.3879, 5.3879 Å; angles 135.63, 135.63, 64.55 degrees
Fractional positions:
Mg 0.0000 0.0000 0.0000
Zr 0.5000 0.5000 0.0000
Zr 0.7500 0.2500 0.5000
Ni 0.2500 0.7500 0.5000

---

Energy ordering: arrangement 1 at the bottom, the next structure 38 meV/atom above.

---

Arrangement 1

## MgZr2Ni (PBE-GGA)

Data for a relaxed MgZr2Ni crystal.

Calculated values
- symmetry = Cm
- theoretical density (g cm⁻³) = 5.7

Cell lengths 5.6189, 5.6189, 4.9634 Å; angles 114.72, 114.72, 33.31 degrees
Fractional positions:
Mg 0.0000 0.0000 0.0000
Zr 0.2055 0.2055 0.6788
Zr 0.4250 0.4250 0.4277
Ni 0.7131 0.7131 0.1184

---

Arrangement 2

## MgZr2Ni (PBE-GGA)

Data for a relaxed MgZr2Ni crystal.

Calculated values
- symmetry = I4/mmm
- theoretical density (g cm⁻³) = 5.8

Cell lengths 5.1619, 5.1619, 5.1619 Å; angles 131.45, 131.45, 71.09 degrees
Fractional positions:
Mg 0.0000 0.0000 0.0000
Zr 0.2500 0.7500 0.5000
Zr 0.7500 0.2500 0.5000
Ni 0.5000 0.5000 0.0000

---

Energy ordering: arrangement 1 at the bottom, the next structure 92 meV/atom above.

---

Arrangement 1

## MgZr2Ni (PBE-GGA)

Data for a relaxed MgZr2Ni crystal.

Calculated values
- symmetry = Immm
- theoretical density (g cm⁻³) = 5.7

Cell lengths 5.5889, 5.5889, 5.5889 Å; angles 144.94, 128.63, 63.72 degrees
Fractional positions:
Mg 0.0000 0.0000 0.0000
Zr 0.2821 0.7821 0.5000
Zr 0.7179 0.2179 0.5000
Ni 0.5000 0.5000 0.0000

---

Arrangement 2

## MgZr2Ni (PBE-GGA)

Data for a relaxed MgZr2Ni crystal.

Calculated values
- symmetry = P4/mmm
- theoretical density (g cm⁻³) = 5.8

Cell lengths 4.4962, 4.4962, 3.7283 Å; angles 90.00, 90.00, 90.00 degrees
Fractional positions:
Mg 0.0000 0.0000 0.0000
Zr 0.0000 0.5000 0.5000
Zr 0.5000 0.0000 0.5000
Ni 0.5000 0.5000 0.0000

---

Energy ordering: arrangement 1 at the bottom, the next structure 29 meV/atom above.

---

Arrangement 1

## MgZrNi3 (PBE-GGA)

Data for a relaxed MgZrNi3 crystal.

Calculated values
- symmetry = Pm-3m
- theoretical density (g cm⁻³) = 4.9

Cell lengths 4.6242, 4.6242, 4.6242 Å; angles 90.00, 90.00, 90.00 degrees
Fractional positions:
Mg 0.0000 0.0000 0.0000
Zr 0.5000 0.5000 0.5000
Ni 0.0000 0.5000 0.5000
Ni 0.5000 0.0000 0.5000
Ni 0.5000 0.5000 0.0000

---

Arrangement 2

## MgZrNi3 (PBE-GGA)

Data for a relaxed MgZrNi3 crystal.

Calculated values
- symmetry = Pm-3m
- theoretical density (g cm⁻³) = 6.0

Cell lengths 4.3151, 4.3151, 4.3151 Å; angles 90.00, 90.00, 90.00 degrees
Fractional positions:
Mg 0.0000 0.0000 0.0000
Zr 0.5000 0.5000 0.5000
Ni 0.0000 0.0000 0.5000
Ni 0.0000 0.5000 0.0000
Ni 0.5000 0.0000 0.0000

---

Energy ordering: arrangement 2 at the bottom, the next structure 216 meV/atom above.

---

Arrangement 1

## MgNp3 (PBE-GGA)

Data for a relaxed MgNp3 crystal.

Calculated values
- symmetry = Pm-3m
- theoretical density (g cm⁻³) = 13.3

Cell lengths 4.5122, 4.5122, 4.5122 Å; angles 90.00, 90.00, 90.00 degrees
Fractional positions:
Mg 0.0000 0.0000 0.0000
Np 0.0000 0.5000 0.5000
Np 0.5000 0.0000 0.5000
Np 0.5000 0.5000 0.0000

---

Arrangement 2

## MgNp3 (PBE-GGA)

Data for a relaxed MgNp3 crystal.

Calculated values
- symmetry = I4/mmm
- theoretical density (g cm⁻³) = 15.1

Cell lengths 5.2502, 5.2502, 5.2502 Å; angles 130.81, 130.81, 72.11 degrees
Fractional positions:
Mg 0.0000 0.0000 0.0000
Np 0.2500 0.7500 0.5000
Np 0.5000 0.5000 0.0000
Np 0.7500 0.2500 0.5000

---

Energy ordering: arrangement 2 at the bottom, the next structure 13 meV/atom above.

---

Arrangement 1

## MgNpSn2 (PBE-GGA)

Data for a relaxed MgNpSn2 crystal.

Calculated values
- symmetry = Fm-3m
- theoretical density (g cm⁻³) = 8.2

Cell lengths 5.2212, 5.2212, 5.2212 Å; angles 60.00, 60.00, 60.00 degrees
Fractional positions:
Mg 0.0000 0.0000 0.0000
Np 0.5000 0.5000 0.5000
Sn 0.2500 0.2500 0.2500
Sn 0.7500 0.7500 0.7500

---

Arrangement 2

## MgNpSn2 (PBE-GGA)

Data for a relaxed MgNpSn2 crystal.

Calculated values
- symmetry = R-3m
- theoretical density (g cm⁻³) = 8.2

Cell lengths 11.7566, 11.7566, 11.7566 Å; angles 15.50, 15.50, 15.50 degrees
Fractional positions:
Mg 0.0000 0.0000 0.0000
Np 0.5000 0.5000 0.5000
Sn 0.0867 0.0867 0.0867
Sn 0.9133 0.9133 0.9133

---

Energy ordering: arrangement 1 at the bottom, the next structure 139 meV/atom above.

---

Arrangement 1

## MgNpTe2 (PBE-GGA)

Data for a relaxed MgNpTe2 crystal.

Calculated values
- symmetry = R3m
- theoretical density (g cm⁻³) = 7.5

Cell lengths 7.9634, 7.9634, 7.9634 Å; angles 30.33, 30.33, 30.33 degrees
Fractional positions:
Mg 0.0000 0.0000 0.0000
Np 0.8340 0.8340 0.8340
Te 0.4078 0.4078 0.4078
Te 0.5907 0.5907 0.5907

---

Arrangement 2

## MgNpTe2 (PBE-GGA)

Data for a relaxed MgNpTe2 crystal.

Calculated values
- symmetry = R-3m
- theoretical density (g cm⁻³) = 5.8

Cell lengths 9.6855, 9.6855, 9.6855 Å; angles 25.39, 25.39, 25.39 degrees
Fractional positions:
Mg 0.0000 0.0000 0.0000
Np 0.5000 0.5000 0.5000
Te 0.1003 0.1003 0.1003
Te 0.8997 0.8997 0.8997

---

Energy ordering: arrangement 1 at the bottom, the next structure 297 meV/atom above.